1.
DFT (PBE-GGA) results for a relaxed structure of Cs2YPd2.

Summary:
As for the total energy: -2.950 eV/atom. As for the energy of formation: 761 meV per atom. The calculation puts the offset from the most stable computed form at 380 meV/atom. As for the volume: 180.4 Å³/f.u. The theoretical density comes out at 5.22 g cm⁻³.

abc: 6.7728 6.7728 6.7728
angles: 129.48 129.48 74.24
Atoms (fractional coordinates):
Cs  0.1533  0.1533  0.0000
Cs  0.8467  0.8467  0.0000
Y  0.5000  0.5000  0.0000
Pd  0.2500  0.7500  0.5000
Pd  0.7500  0.2500  0.5000

2.
DFT (PBE-GGA) results for a relaxed structure of Ba2ErAgO4.

Summary:
As for the total energy: -6.129 eV/atom. As for the volume: 175.4 Å³/f.u. The theoretical density comes out at 5.81 g cm⁻³. The formation energy without anion corrections is -17.9 eV per formula unit.

abc: 6.7565 6.7565 6.7565
angles: 130.26 130.26 72.99
Atoms (fractional coordinates):
Ba  0.0000  0.0000  0.0000
Ba  0.7500  0.2500  0.5000
Er  0.5000  0.5000  0.0000
Ag  0.2500  0.7500  0.5000
O  0.1785  0.6129  0.0178
O  0.3871  0.4049  0.5656
O  0.5951  0.1607  0.9822
O  0.8393  0.8215  0.4344

3.
DFT (PBE-GGA) results for a relaxed structure of KNb2TcO8.

Summary:
As for the total energy: -8.002 eV/atom. As for the volume: 191.9 Å³/f.u. The theoretical density comes out at 3.90 g cm⁻³. The formation energy without anion corrections is -24.8 eV per formula unit.

abc: 5.3872 5.3872 7.2064
angles: 101.41 101.41 71.09
Atoms (fractional coordinates):
K  0.0000  0.0000  0.0000
Nb  0.4297  0.4297  0.7747
Nb  0.5703  0.5703  0.2253
Tc  0.0000  0.0000  0.5000
O  0.2082  0.7504  0.6843
O  0.2195  0.2195  0.6041
O  0.2496  0.7918  0.3157
O  0.3562  0.3562  0.0036
O  0.6438  0.6438  0.9964
O  0.7504  0.2082  0.6843
O  0.7805  0.7805  0.3959
O  0.7918  0.2496  0.3157

4.
DFT (PBE-GGA) results for a relaxed structure of LiLaIn.

Summary:
As for the total energy: -3.263 eV/atom. As for the energy of formation: -70 meV per atom. As for the volume: 89.0 Å³/f.u. The theoretical density comes out at 4.86 g cm⁻³.

abc: 3.3568 4.5348 5.8485
angles: 90.00 90.00 90.00
Atoms (fractional coordinates):
Li  0.0000  0.0000  0.0000
La  0.0000  0.5000  0.5000
In  0.5000  0.5000  0.0000

5.
DFT (PBE-GGA) results for a relaxed structure of Zn2FeMo.

Summary:
As for the total energy: -5.382 eV/atom. As for the energy of formation: 79 meV per atom. The calculation puts the offset from the most stable computed form at 22 meV/atom. As for the volume: 55.7 Å³/f.u. The theoretical density comes out at 8.42 g cm⁻³.

abc: 2.6392 2.6392 8.0024
angles: 90.00 90.00 90.00
Atoms (fractional coordinates):
Zn  0.0000  0.0000  0.2360
Zn  0.0000  0.0000  0.7640
Fe  0.5000  0.5000  0.0000
Mo  0.5000  0.5000  0.5000

6.
DFT (PBE-GGA) results for a relaxed structure of SrMo2Se.

Summary:
As for the total energy: -6.149 eV/atom. As for the volume: 82.8 Å³/f.u. The theoretical density comes out at 7.19 g cm⁻³. The formation energy without anion corrections is 2.2 eV per formula unit.

abc: 3.5073 4.3688 5.4018
angles: 90.00 90.00 90.00
Atoms (fractional coordinates):
Sr  0.0000  0.0000  0.0000
Mo  0.0000  0.5000  0.5000
Mo  0.5000  0.0000  0.5000
Se  0.5000  0.5000  0.0000

> Which of these has the lowest theoretical density?

KNb2TcO8